Entry 1:
Below is crystalline ScMnCl2 at its relaxed geometry, with properties calculated at the PBE-GGA level.

abc: 6.876 6.876 6.876
angles: 153.16 141.57 47.50
Last column: magnetic moment on the atom in μB.
Fractional coordinates of all 4 atoms:
Mn  0.426  0.426  0.000  4.08
Cl  0.070  0.070  0.000  0.04
Sc  0.235  0.735  0.500  -0.46
Cl  0.768  0.268  0.500  0.03

Properties
- space group = Imm2 (44)
- offset from the most stable computed form (meV per atom) = 234.5
- magnetization (μB per formula unit) = 3.9

Entry 2:
Below is crystalline Cr2RuC at its relaxed geometry, with properties calculated at the PBE-GGA level.

abc: 2.797 2.797 6.592
angles: 77.75 77.75 60.00
Fractional coordinates of all 4 atoms:
C  0.666  0.666  0.002
Cr  0.277  0.277  0.169
Cr  0.058  0.058  0.825
Ru  0.499  0.499  0.503

Properties
- space group = R3m (160)
- calculated formation energy (eV/atom) = -0.06
- magnetization (μB per formula unit) = 0.0

Entry 3:
Below is crystalline NpGa2S6 at its relaxed geometry, with properties calculated at the PBE-GGA level.

abc: 6.694 8.232 8.232
angles: 85.20 83.09 83.09
Last column: magnetic moment on the atom in μB.
Fractional coordinates of all 18 atoms:
S  0.883  0.189  0.047  -0.11
S  0.364  0.710  0.532  -0.13
S  0.162  0.118  0.611  -0.17
S  0.662  0.611  0.118  -0.17
Ga  0.164  0.614  0.749  0.00
Ga  0.336  0.251  0.386  0.00
S  0.338  0.389  0.882  -0.17
Ga  0.664  0.749  0.614  0.00
S  0.383  0.047  0.189  -0.11
Ga  0.836  0.386  0.251  0.00
Np  0.750  0.898  0.102  2.24
Np  0.250  0.102  0.898  2.24
S  0.864  0.532  0.710  -0.13
S  0.117  0.811  0.953  -0.11
S  0.617  0.953  0.811  -0.11
S  0.136  0.468  0.290  -0.13
S  0.636  0.290  0.468  -0.13
S  0.838  0.882  0.389  -0.17

Properties
- space group = C2/c (15)
- final energy (eV/atom) = -5.450
- magnetization (μB per formula unit) = 1.0